The following is a PBE calculation of crystalline Li2MgSi2Pd2 at its relaxed geometry, from Alexandria via LeMat-Bulk.

The structure in POSCAR format:
```
Li2MgSi2Pd2
1.0
4.2703 0.0000 0.0000
-2.1352 3.6551 -0.3342
0.0000 -1.8525 6.8777
Li Mg Si Pd
2 1 2 2
Cartesian
0.0000 0.2440 2.7967
2.1352 1.5586 3.7469
0.0000 0.0000 0.0000
2.1352 -0.7730 5.1791
0.0000 2.5756 1.3644
2.1352 1.3291 1.1166
0.0000 0.4734 5.4269
```

Properties
- mass density (g/cm³) = 4.87
- electronic total energy (Ha/atom) = -0.1601
- raw formation energy (eV per atom) = -0.55